# CrCo2PdRu

A relaxed CrCo2PdRu crystal (GGA-PBE, Alexandria via LeMat-Bulk).

Lattice parameters (Å, degrees): 4.3098 4.8474 4.3098 90.00 90.00 90.00
With the nearest neighbours (Å) after each atom.
Sites, in units of the cell vectors:
Ru 0.0000 0.0000 0.0000  4 Co 2.15
Co 0.0000 0.0000 0.5000  2 Ru 2.15
Co 0.5000 0.0000 0.0000  2 Ru 2.15
Pd 0.0000 0.5000 0.0000  2 Ru 2.42
Cr 0.5000 0.5000 0.5000  4 Pd 3.05, 8 Co 3.24

Computed properties:
**Calculated volume**: 90.0 Å³ per cell
**E_form**: 1825.0 meV/atom

=====

# Y2CrCoPd

A relaxed Y2CrCoPd crystal (GGA-PBE, Alexandria via LeMat-Bulk).

Lattice parameters (Å, degrees): 5.2396 5.2396 4.0489 90.00 90.00 90.00
With the nearest neighbours (Å) after each atom.
Sites, in units of the cell vectors:
Pd 0.5000 0.5000 0.5000  8 Y 3.31, 4 Co 3.70
Cr 0.0000 0.0000 0.0000  2 Co 2.02
Co 0.0000 0.0000 0.5000  2 Cr 2.02
Y 0.0000 0.5000 0.0000  2 Cr 2.62
Y 0.5000 0.0000 0.0000  2 Cr 2.62

Computed properties:
**Calculated volume**: 111.2 Å³ per cell
**E_form**: 408.7 meV/atom

=====

# Pr2Cr3Co14

A relaxed Pr2Cr3Co14 crystal (GGA-PBE, Alexandria via LeMat-Bulk).

Lattice parameters (Å, degrees): 6.3203 6.3203 6.3203 83.45 83.45 83.45
With the nearest neighbours (Å) after each atom.
Sites, in units of the cell vectors:
Co 0.0000 0.7162 0.2838  2 Cr 2.38, 6 Co 2.39-2.59
Co 0.6595 0.6595 0.1373  2 Cr 2.38, 7 Co 2.51-2.59
Co 0.7162 0.2838 0.0000  2 Cr 2.38, 6 Co 2.39-2.59
Co 0.6595 0.1373 0.6595  2 Cr 2.38, 7 Co 2.51-2.59
Co 0.0969 0.0969 0.0969  4 Co 2.35-2.54, 3 Cr 2.57
Co 0.8627 0.3405 0.3405  2 Cr 2.38, 7 Co 2.51-2.59
Co 0.1373 0.6595 0.6595  2 Cr 2.38, 7 Co 2.51-2.59
Co 0.7162 0.0000 0.2838  2 Cr 2.38, 6 Co 2.39-2.59
Co 0.0000 0.2838 0.7162  2 Cr 2.38, 6 Co 2.39-2.59
Co 0.9031 0.9031 0.9031  4 Co 2.35-2.54, 3 Cr 2.57
Co 0.2838 0.0000 0.7162  2 Cr 2.38, 6 Co 2.39-2.59
Co 0.3405 0.8627 0.3405  2 Cr 2.38, 7 Co 2.51-2.59
Co 0.2838 0.7162 0.0000  2 Cr 2.38, 6 Co 2.39-2.59
Co 0.3405 0.3405 0.8627  2 Cr 2.38, 7 Co 2.51-2.59
Cr 0.0000 0.5000 0.0000  10 Co 2.38-2.57
Cr 0.0000 0.0000 0.5000  10 Co 2.38-2.57
Cr 0.5000 0.0000 0.0000  10 Co 2.38-2.57
Pr 0.3521 0.3521 0.3521  16 Co 3.01-3.21, 3 Cr 3.31
Pr 0.6479 0.6479 0.6479  16 Co 3.01-3.21, 3 Cr 3.31

Computed properties:
**Calculated volume**: 247.9 Å³ per cell
**E_form**: 32.5 meV/atom

=====

# Pr2Cr2Co15

A relaxed Pr2Cr2Co15 crystal (GGA-PBE, Alexandria via LeMat-Bulk).

Lattice parameters (Å, degrees): 6.3327 6.3327 6.3068 83.17 83.17 83.69
With the nearest neighbours (Å) after each atom.
Sites, in units of the cell vectors:
Co 0.2833 0.9995 0.7173  1 Cr 2.38, 9 Co 2.38-2.66
Co 0.9995 0.2833 0.7173  1 Cr 2.38, 9 Co 2.38-2.66
Co 0.7143 0.2857 0.0000  2 Cr 2.38, 6 Co 2.38-2.58
Co 0.3425 0.3425 0.8609  2 Cr 2.40, 7 Co 2.53-2.58
Co 0.0005 0.7167 0.2827  1 Cr 2.38, 9 Co 2.38-2.66
Co 0.0000 0.0000 0.5000  10 Co 2.38-2.55
Co 0.8584 0.3413 0.3417  1 Cr 2.38, 8 Co 2.40-2.60
Co 0.2857 0.7143 0.0000  2 Cr 2.38, 6 Co 2.38-2.58
Co 0.9037 0.9037 0.9022  5 Co 2.35-2.56, 2 Cr 2.58
Co 0.3413 0.8584 0.3417  1 Cr 2.38, 8 Co 2.40-2.60
Co 0.1416 0.6587 0.6583  1 Cr 2.38, 8 Co 2.40-2.60
Co 0.6575 0.6575 0.1391  2 Cr 2.40, 7 Co 2.53-2.58
Co 0.6587 0.1416 0.6583  1 Cr 2.38, 8 Co 2.40-2.60
Co 0.7167 0.0005 0.2827  1 Cr 2.38, 9 Co 2.38-2.66
Co 0.0963 0.0963 0.0978  5 Co 2.35-2.56, 2 Cr 2.58
Cr 0.5000 0.0000 0.0000  10 Co 2.38-2.58
Cr 0.0000 0.5000 0.0000  10 Co 2.38-2.58
Pr 0.6519 0.6519 0.6474  17 Co 3.01-3.27, 2 Cr 3.30
Pr 0.3481 0.3481 0.3526  17 Co 3.01-3.27, 2 Cr 3.30

Computed properties:
**Calculated volume**: 248.2 Å³ per cell
**E_form**: 18.8 meV/atom